<w>
Fe2RhCl PBE optimized geometry; DOS(E_F) = 0.876 states/eV per atom
1.0
2.9851 0.0000 0.0000
0.0000 3.0474 0.0000
0.0000 0.0000 6.9148
Fe Rh Cl
2 1 1
Cartesian
0.0000 0.0000 0.0000
1.4926 1.5237 1.4134
1.4926 1.5237 5.5550
0.0000 1.5237 3.2559



<x>
Fe2RhCl PBE optimized geometry; DOS(E_F) = 0.939 states/eV per atom
1.0
3.8805 0.0000 0.0000
0.0000 3.8805 0.0000
0.0000 0.0000 3.8836
Fe Rh Cl
2 1 1
Cartesian
0.0000 1.9403 0.0000
1.9403 0.0000 0.0000
0.0000 0.0000 1.9418
1.9403 1.9403 1.9418



<y>
Fe2RhCl PBE optimized geometry; DOS(E_F) = 0.792 states/eV per atom
1.0
2.8997 0.0000 0.0000
0.0000 2.8997 0.0000
0.0000 0.0000 7.0297
Fe Rh Cl
2 1 1
Cartesian
0.0000 0.0000 1.6403
0.0000 0.0000 5.3894
1.4499 1.4499 0.0000
1.4499 1.4499 3.5148



Energies relative to the minimum, kJ/mol of atoms: <w> 0.0; <x> 49.4; <y> 8.3